# BaSnAs2Se (GGA-PBEsol, optimized geometry)
# Total moment, μB per formula unit: 0.00
# Crystal system: tetragonal
# Energy above the most stable polymorph in this dataset, eV per atom: 0.000
# Raw formation energy, eV per atom: -0.24
# Electronic total energy, eV/f.u.: -21.69
data_BaSnAs2Se
_cell_length_a 5.218
_cell_length_b 5.218
_cell_length_c 5.408
_cell_angle_alpha 90.00
_cell_angle_beta 90.00
_cell_angle_gamma 90.00
_space_group_name_H-M_alt 'P 4/m m m'
_space_group_IT_number 123
_space_group_name_Hall '-P 4 2'
loop_
_atom_site_label
_atom_site_type_symbol
_atom_site_fract_x
_atom_site_fract_y
_atom_site_fract_z
Ba1 Ba 0.000 0.000 0.000
Sn1 Sn 0.500 0.500 0.500
As1 As 0.000 0.500 0.500
Se1 Se 0.500 0.500 0.000